The following is a PBE calculation of an optimized crystal structure of Tm2CrN4, from Alexandria.

POSCAR file:
```
Tm2CrN4
1.0
5.3711 0.0000 -0.8734
0.0000 5.4705 0.0000
-0.9770 0.0000 6.4023
N Tm Cr
8 4 2
Direct
0.9288 0.2500 0.0730
0.0417 0.7500 0.3541
0.5330 0.4943 0.7455
0.4670 0.9943 0.2545
0.9583 0.2500 0.6459
0.0712 0.7500 0.9270
0.4670 0.5057 0.2545
0.5330 0.0057 0.7455
0.7618 0.7500 0.5625
0.6920 0.7500 0.0359
0.2382 0.2500 0.4375
0.3080 0.2500 0.9641
0.2461 0.7500 0.1953
0.7539 0.2500 0.8047
```

Spin magnetization in μB/f.u.: 0.00
Uncorrected formation energy in eV/atom: -1.130


The following is a PBE calculation of an optimized crystal structure of Ba5Ru2ClO9, from Alexandria.

POSCAR file:
```
Ba5Ru2ClO9
1.0
6.2743 -0.0600 0.0000
-3.2603 5.3611 0.0000
0.0000 0.0000 18.1568
O Ba Cl Ru
18 10 2 4
Direct
0.0291 0.4448 0.3852
0.3262 0.1319 0.7420
0.9904 0.0096 0.8702
0.9709 0.5552 0.8852
0.5028 0.0481 0.1159
0.0414 0.9586 0.6051
0.1319 0.3262 0.2420
0.4448 0.0291 0.8852
0.6738 0.8681 0.2420
0.9586 0.0414 0.1051
0.9519 0.4972 0.1159
0.0096 0.9904 0.3702
0.4972 0.9519 0.6159
0.0481 0.5028 0.6159
0.3134 0.6866 0.7548
0.8681 0.6738 0.7420
0.6866 0.3134 0.2548
0.5552 0.9709 0.3852
0.1782 0.8218 0.4736
0.5102 0.4898 0.1479
0.4911 0.5089 0.3444
0.4898 0.5102 0.6479
0.1463 0.8537 0.0177
0.8218 0.1782 0.9736
0.8215 0.1785 0.7461
0.8537 0.1463 0.5177
0.1785 0.8215 0.2461
0.5089 0.4911 0.8444
0.4337 0.5663 0.9962
0.5663 0.4337 0.4962
0.8475 0.1525 0.3215
0.1804 0.8196 0.6706
0.1525 0.8475 0.8215
0.8196 0.1804 0.1706
```

Spin magnetization in μB/f.u.: 5.02
Uncorrected formation energy in eV/atom: -2.039


The following is a PBE calculation of an optimized crystal structure of Re2BiO, from Alexandria.

POSCAR file:
```
Re2BiO
1.0
4.7291 0.0000 0.0000
0.0000 4.7291 0.0000
2.3645 2.3645 6.7753
Bi Re O
2 4 2
Direct
0.7500 0.2500 0.5000
0.0000 0.0000 0.0000
0.8750 0.7006 0.7500
0.4506 0.1250 0.2500
0.3750 0.5494 0.7500
0.2994 0.6250 0.2500
0.5000 0.5000 0.0000
0.2500 0.7500 0.5000
```

Spin magnetization in μB/f.u.: 0.00
E above lowest polymorph in meV per atom: 0
Uncorrected formation energy in eV/atom: 0.534


The following is a PBE calculation of an optimized crystal structure of UPH2, from Alexandria.

POSCAR file:
```
UPH2
1.0
-2.0800 -2.5757 1.2493
2.9194 -2.5516 -0.4000
-0.2482 1.8581 3.4175
U H P
1 2 1
Direct
0.5000 0.3879 0.6121
0.5000 0.8259 0.4800
0.5000 0.5200 0.1741
0.0000 0.0462 0.9538
```

Spin magnetization in μB/f.u.: 0.81
E above lowest polymorph in meV per atom: 245


Which of these has the highest spin magnetization?
Ba5Ru2ClO9


spin magnetization of number 2 (Ba5Ru2ClO9)?
5.02 μB/f.u.